Crystalline KBa2MoO5 at its relaxed geometry, computed with GGA+U.

```
KBa2MoO5
1.0
-2.031 3.249 6.113
2.031 -3.249 6.113
2.031 3.249 -6.113
K Ba Mo O
1 2 1 5
Direct
0.000 0.000 0.000 K
0.278 0.778 0.500 Ba
0.722 0.222 0.500 Ba
0.500 0.500 0.000 Mo
0.166 0.379 0.787 O
0.408 0.621 0.787 O
0.500 0.000 0.500 O
0.592 0.379 0.213 O
0.834 0.621 0.213 O
```

Calculated values
The theoretical density is 5.0 Mg/m³. As for the space-group type: No. 71. The total energy is -6.219 eV/atom.